## Ba2Sm2Ti2Cu2O11 (SCAN)

Data for a PBEsol-optimized structure of Ba2Sm2Ti2Cu2O11. Values from VASP.

Properties
**Crystal system**: tetragonal
**E**: -18.666 eV/atom
**ρ**: 6.87 g/cm3
**Formation energy without anion corrections**: -2.930 eV/atom

Structure (Quantum ESPRESSO input):
```
&SYSTEM
  ibrav = 0, nat = 19, ntyp = 5
/
ATOMIC_SPECIES
Ba 137.33 Ba.upf
Sm 150.36 Sm.upf
Ti 47.87 Ti.upf
Cu 63.55 Cu.upf
O 16.00 O.upf
CELL_PARAMETERS angstrom
-3.4225 -0.5844 1.7239
1.8139 -0.7884 3.3339
-0.6142 15.1536 3.9176
ATOMIC_POSITIONS angstrom
Ba -0.9689 3.3740 3.5786
Ba -1.2539 10.4068 5.3968
Sm -1.1114 6.8904 4.4877
Sm -0.8043 -0.6864 2.5289
Ti -0.0774 1.9107 0.4940
Ti -0.5367 13.2429 3.4236
Cu -0.2431 5.9972 1.5504
Cu -0.3711 9.1564 2.3671
O 0.8382 1.3010 2.1052
O 0.3615 13.0642 5.1463
O -1.7800 1.4030 1.3002
O -2.2567 13.1662 4.3413
O 0.6577 5.7548 3.2566
O 0.5420 8.6104 3.9949
O -1.9605 5.8568 2.4516
O -2.0762 8.7124 3.1898
O -0.1501 3.7045 0.9577
O -0.4640 11.4490 2.9599
O 0.0000 0.0000 0.0000
```